No. 1
Below is KTl4Sn after structural relaxation, with properties calculated at the PBE-GGA level.

Results
Density, Mg/m³: 8.1
VASP energy, eV/atom: -2.418

Structure (POSCAR):
```
KTl4Sn
1.0
6.5684 0.0000 0.0000
3.2842 5.6884 0.0000
3.2842 1.8961 5.3631
Sn Tl K
1 4 1
Cartesian
0.0000 0.0000 0.0000
4.9188 4.7446 3.3550
6.5684 1.8875 3.3550
6.5684 3.7923 0.6612
8.2180 4.7446 3.3550
3.2842 1.8961 1.3408
```

No. 2
Below is K3Tl3Sn8 after structural relaxation, with properties calculated at the PBE-GGA level.

Results
Density, Mg/m³: 6.0
VASP energy, eV/atom: -3.159

Structure (POSCAR):
```
K3Tl3Sn8
1.0
4.9169 0.0000 0.0000
2.4584 9.8939 0.0207
2.4584 2.7136 9.5146
Sn Tl K
8 3 3
Cartesian
4.9169 6.3382 0.6496
4.9169 2.3506 5.9219
7.3753 7.3919 7.5323
4.9169 10.2569 3.6133
7.3753 9.2603 5.0620
4.9169 6.2693 8.8857
2.4584 5.2156 2.0029
2.4584 3.3472 4.4733
2.4584 8.4473 1.9334
2.4584 4.1602 7.6019
2.4584 0.0000 0.0000
4.9169 2.4190 1.8295
4.9169 6.3038 4.7676
4.9169 10.1885 7.7057
```

No. 3
Below is K2Tl7Sn after structural relaxation, with properties calculated at the PBE-GGA level.

Results
Density, Mg/m³: 7.6
VASP energy, eV/atom: -2.329

Structure (POSCAR):
```
K2Tl7Sn
1.0
5.1424 0.0000 0.0000
0.0000 5.1424 0.0000
0.0000 0.0000 13.3753
Tl K Sn
7 2 1
Cartesian
2.5712 2.5712 6.6877
0.0000 0.0000 0.0000
0.0000 0.0000 6.6877
2.5712 0.0000 1.8307
2.5712 0.0000 4.8378
0.0000 2.5712 8.5376
0.0000 2.5712 11.5447
2.5712 0.0000 10.1232
0.0000 2.5712 3.2521
2.5712 2.5712 0.0000
```

Among the records above, which one has the lowest VASP energy? K3Tl3Sn8

Number 3 is which compound? K2Tl7Sn